Cs2BSeI6, relaxed, DFT PBE-GGA; SG = I4/mmm, No. 139; DOS(E_F) = 2.526 states/eV/cell; uncorrected formation energy = -0.3628 eV/atom
1.0
8.023 0.000 0.000
0.000 8.023 0.000
4.012 4.012 6.308
Cs I Se B
2 6 1 1
direct
0.250 0.750 0.500 Cs
0.750 0.250 0.500 Cs
0.282 0.282 0.000 I
0.718 0.718 0.000 I
0.718 0.282 0.000 I
0.777 0.777 0.445 I
0.282 0.718 0.000 I
0.223 0.223 0.555 I
0.000 0.000 0.000 Se
0.500 0.500 0.000 B

=====

BaNb2Co, relaxed, DFT PBE-GGA; SG = Fm-3m, No. 225; DOS(E_F) = 5.127 states/eV/cell; ΔE to the lowest computed polymorph = 15 meV per atom; ΔH_f (0 K) = 4.28 eV/f.u.
1.0
0.594 -4.087 2.339
-2.645 -3.780 -1.116
1.979 -3.720 -2.186
Nb Ba Co
2 1 1
direct
0.250 0.250 0.250 Nb
0.750 0.750 0.750 Nb
0.500 0.500 0.500 Ba
0.000 0.000 0.000 Co

=====

NiB4, relaxed, DFT PBE-GGA; SG = C2/m, No. 12; DOS(E_F) = 2.339 states/eV/cell; ΔH_f (0 K) = 0.60 eV/f.u.
1.0
-1.928 -1.531 -3.072
0.129 -2.613 1.221
-5.635 1.155 3.070
B Ni
8 2
direct
0.028 0.500 0.345 B
0.673 0.500 0.203 B
0.673 0.000 0.703 B
0.327 0.500 0.797 B
0.028 0.000 0.845 B
0.972 0.000 0.155 B
0.327 0.000 0.297 B
0.972 0.500 0.655 B
0.500 0.000 0.000 Ni
0.500 0.500 0.500 Ni

=====

B7C3, relaxed, DFT PBE-GGA; SG = R3m, No. 160; DOS(E_F) = 2.705 states/eV/cell; ΔE to the lowest computed polymorph = 281 meV per atom; ΔH_f (0 K) = 5.73 eV/f.u.
1.0
2.760 0.095 11.805
1.442 2.355 11.805
0.163 0.095 12.122
B C
7 3
direct
0.799 0.799 0.799 B
0.546 0.546 0.546 B
0.753 0.753 0.753 B
0.160 0.160 0.160 B
0.955 0.955 0.955 B
0.596 0.596 0.596 B
0.391 0.391 0.391 B
0.204 0.204 0.204 C
0.999 0.999 0.999 C
0.347 0.347 0.347 C

=====

TaSb2P, relaxed, DFT PBE-GGA; SG = P4/mmm, No. 123; DOS(E_F) = 3.253 states/eV/cell; uncorrected formation energy = 0.5181 eV/atom
1.0
4.926 0.000 0.000
0.000 4.926 0.000
0.000 0.000 3.373
P Sb Ta
1 2 1
direct
0.000 0.000 0.500 P
0.500 0.000 0.000 Sb
0.000 0.500 0.000 Sb
0.500 0.500 0.500 Ta

=====

Tb3CeDy, relaxed, DFT PBE-GGA; SG = R-3, No. 148; DOS(E_F) = 19.060 states/eV/cell; ΔE to the lowest computed polymorph = 0 meV per atom; ΔH_f (0 K) = 1.13 eV/f.u.
1.0
6.108 0.000 0.000
3.054 5.289 0.000
3.054 1.763 9.787
Tb Dy Ce
6 2 2
direct
0.882 0.524 0.354 Tb
0.761 0.118 0.646 Tb
0.524 0.239 0.354 Tb
0.476 0.761 0.646 Tb
0.239 0.882 0.354 Tb
0.118 0.476 0.646 Tb
0.667 0.667 0.000 Dy
0.333 0.333 0.000 Dy
0.045 0.045 0.864 Ce
0.955 0.955 0.136 Ce

=====

Al3VC, relaxed, DFT PBE-GGA; SG = Pm-3m, No. 221; DOS(E_F) = 2.922 states/eV/cell; ΔE to the lowest computed polymorph = 0 meV per atom; ΔH_f (0 K) = 2.32 eV/f.u.
1.0
-1.169 0.053 3.920
1.638 -3.709 0.539
3.561 1.723 1.039
V Al C
1 3 1
direct
0.500 0.500 0.500 V
0.000 0.000 0.500 Al
0.000 0.500 0.000 Al
0.500 0.000 0.000 Al
0.000 0.000 0.000 C

=====

GdPaZn2, relaxed, DFT PBE-GGA; SG = Fm-3m, No. 225; DOS(E_F) = 5.356 states/eV/cell; ΔE to the lowest computed polymorph = 81 meV per atom; ΔH_f (0 K) = -0.12 eV/f.u.
1.0
-0.626 -4.895 -1.000
-0.384 -3.311 3.774
-4.416 -2.221 0.961
Zn Gd Pa
2 1 1
direct
0.250 0.250 0.250 Zn
0.750 0.750 0.750 Zn
0.500 0.500 0.500 Gd
0.000 0.000 0.000 Pa

=====

SmHo2TmSe6, relaxed, DFT PBE-GGA; SG = R3, No. 146; DOS(E_F) = 0.000 states/eV/cell; uncorrected formation energy = -1.8432 eV/atom
1.0
7.208 0.000 0.000
3.605 6.242 0.000
3.604 2.081 6.476
Se Tm Sm Ho
6 1 1 2
direct
0.918 0.608 0.248 Se
0.608 0.226 0.248 Se
0.225 0.918 0.248 Se
0.122 0.405 0.752 Se
0.405 0.722 0.752 Se
0.722 0.122 0.752 Se
0.319 0.319 0.043 Tm
0.815 0.815 0.554 Sm
0.012 0.012 0.963 Ho
0.515 0.515 0.455 Ho

=====

Bi2PbICl, relaxed, DFT PBE-GGA; SG = P4/mmm, No. 123; DOS(E_F) = 5.432 states/eV/cell; uncorrected formation energy = 0.4892 eV/atom
1.0
-1.160 -5.402 2.428
3.941 0.752 3.556
-3.923 2.554 3.809
Pb Bi I Cl
1 2 1 1
direct
0.500 0.500 0.500 Pb
0.000 0.000 0.500 Bi
0.500 0.000 0.000 Bi
0.000 0.000 0.000 I
0.000 0.500 0.000 Cl

=====

LiSc2TlF, relaxed, DFT PBE-GGA; SG = P4/mmm, No. 123; DOS(E_F) = 3.588 states/eV/cell; uncorrected formation energy = -1.1135 eV/atom
1.0
-3.272 0.233 3.159
-3.153 -0.678 -3.216
0.276 -4.063 0.586
Sc F Li Tl
2 1 1 1
direct
0.500 0.000 0.000 Sc
0.000 0.500 0.000 Sc
0.000 0.000 0.000 F
0.000 0.000 0.500 Li
0.500 0.500 0.500 Tl

=====

Rb4Ac3MnSe8, relaxed, DFT PBE-GGA; SG = C2/m, No. 12; uncorrected formation energy = -1.4605 eV/atom
1.0
8.829 0.000 0.000
0.000 9.562 0.418
-4.415 -4.483 6.473
Se Rb Ac Mn
8 4 3 1
direct
0.778 0.680 0.975 Se
0.267 0.288 0.534 Se
0.222 0.320 0.025 Se
0.733 0.712 0.466 Se
0.745 0.273 0.491 Se
0.255 0.727 0.509 Se
0.197 0.680 0.975 Se
0.803 0.320 0.025 Se
0.000 0.000 0.500 Rb
0.500 0.000 0.500 Rb
0.000 0.000 0.000 Rb
0.500 0.000 0.000 Rb
0.500 0.500 0.000 Ac
0.500 0.500 0.500 Ac
0.000 0.500 0.500 Ac
0.000 0.500 0.000 Mn

=====

ReP2Pb, relaxed, DFT PBE-GGA; SG = R-3m, No. 166; DOS(E_F) = 1.904 states/eV/cell; ΔH_f (0 K) = 0.07 eV/f.u.
1.0
9.080 0.033 0.019
8.519 3.142 0.019
8.519 1.537 2.741
Re Pb P
1 1 2
direct
0.750 0.750 0.750 Re
0.250 0.250 0.250 Pb
0.478 0.478 0.478 P
0.022 0.022 0.022 P

=====

Li2ZrTc, relaxed, DFT PBE-GGA; SG = Pm, No. 6; DOS(E_F) = 2.655 states/eV/cell; ΔE to the lowest computed polymorph = 78 meV per atom; ΔH_f (0 K) = 0.89 eV/f.u.
1.0
-2.523 -2.874 2.033
-0.040 -1.548 -2.238
4.687 -3.340 1.094
Li Tc Zr
2 1 1
direct
0.000 0.059 0.028 Li
0.500 0.228 0.253 Li
0.000 0.478 0.498 Tc
0.500 0.735 0.722 Zr

=====

Pm4GeI, relaxed, DFT PBE-GGA; SG = C2/c, No. 15; DOS(E_F) = 10.424 states/eV/cell; uncorrected formation energy = -0.4727 eV/atom
1.0
7.231 -0.730 0.000
-1.987 7.130 0.000
-2.622 -3.200 8.148
I Pm Ge
2 8 2
direct
0.817 0.067 0.133 I
0.183 0.933 0.867 I
0.322 0.085 0.600 Pm
0.222 0.485 0.400 Pm
0.778 0.515 0.600 Pm
0.425 0.651 0.856 Pm
0.069 0.795 0.144 Pm
0.678 0.915 0.400 Pm
0.931 0.205 0.856 Pm
0.575 0.349 0.144 Pm
0.311 0.561 0.121 Ge
0.689 0.439 0.879 Ge

=====

Ac2ErSi, relaxed, DFT PBE-GGA; SG = P4/mmm, No. 123; DOS(E_F) = 4.374 states/eV/cell; ΔE to the lowest computed polymorph = 0 meV per atom; uncorrected formation energy = -0.0692 eV/atom
1.0
-0.226 -2.657 -3.981
-3.086 -3.294 2.374
-4.054 2.676 -1.556
Ac Er Si
2 1 1
direct
0.000 0.500 0.000 Ac
0.000 0.000 0.500 Ac
0.500 0.500 0.500 Er
0.500 0.000 0.000 Si

=====

YIr2Rh, relaxed, DFT PBE-GGA; SG = R-3m, No. 166; DOS(E_F) = 6.214 states/eV/cell; ΔE to the lowest computed polymorph = 648 meV per atom; ΔH_f (0 K) = 0.94 eV/f.u.
1.0
9.507 -0.020 -0.012
9.077 2.825 -0.012
9.077 1.370 2.471
Ir Y Rh
2 1 1
direct
0.993 0.993 0.993 Ir
0.507 0.507 0.507 Ir
0.750 0.750 0.750 Y
0.250 0.250 0.250 Rh

=====

La2PO, relaxed, DFT PBE-GGA; SG = R3m, No. 160; DOS(E_F) = 2.616 states/eV/cell; ΔE to the lowest computed polymorph = 193 meV per atom; uncorrected formation energy = -1.9590 eV/atom
1.0
3.868 0.000 0.000
1.934 3.349 0.000
1.934 1.116 6.902
P La O
1 2 1
direct
0.668 0.668 0.996 P
0.089 0.089 0.734 La
0.248 0.248 0.255 La
0.495 0.495 0.515 O

=====

Cs2KPI6, relaxed, DFT PBE-GGA; SG = Fm-3m, No. 225; DOS(E_F) = 0.000 states/eV/cell; ΔE to the lowest computed polymorph = 10 meV per atom; uncorrected formation energy = -0.8838 eV/atom
1.0
8.757 0.000 0.000
0.000 8.757 0.000
4.379 4.379 6.193
K I P Cs
1 6 1 2
direct
0.000 0.000 0.000 K
0.726 0.726 0.000 I
0.274 0.274 0.000 I
0.726 0.726 0.547 I
0.274 0.726 0.000 I
0.274 0.274 0.453 I
0.726 0.274 0.000 I
0.500 0.500 0.000 P
0.250 0.750 0.500 Cs
0.750 0.250 0.500 Cs

=====

HoEr3Al8, relaxed, DFT PBE-GGA; SG = P3m1, No. 156; DOS(E_F) = 5.852 states/eV/cell; ΔE to the lowest computed polymorph = 9 meV per atom; ΔH_f (0 K) = -6.02 eV/f.u.
1.0
5.525 0.000 0.000
-2.762 4.785 0.000
0.000 0.000 9.058
Er Al Ho
3 8 1
direct
0.667 0.333 0.432 Er
0.667 0.333 0.067 Er
0.000 0.000 0.933 Er
0.333 0.667 0.000 Al
0.333 0.667 0.500 Al
0.162 0.838 0.250 Al
0.505 0.495 0.750 Al
0.162 0.324 0.250 Al
0.991 0.495 0.750 Al
0.676 0.838 0.250 Al
0.505 0.009 0.750 Al
0.000 0.000 0.568 Ho

=====

Ti2MoRu2, relaxed, DFT PBE-GGA; SG = P4/mbm, No. 127; DOS(E_F) = 13.171 states/eV/cell; ΔH_f (0 K) = -0.58 eV/f.u.
1.0
-1.887 -5.541 4.220
6.937 -1.107 1.649
-0.256 1.854 2.321
Ru Mo Ti
4 2 4
direct
0.139 0.361 0.000 Ru
0.639 0.139 0.000 Ru
0.861 0.639 0.000 Ru
0.361 0.861 0.000 Ru
0.000 0.000 0.000 Mo
0.500 0.500 0.000 Mo
0.838 0.338 0.500 Ti
0.162 0.662 0.500 Ti
0.338 0.162 0.500 Ti
0.662 0.838 0.500 Ti

=====

Cs2HgMo, relaxed, DFT PBE-GGA; SG = P-1, No. 2; DOS(E_F) = 5.143 states/eV/cell; ΔE to the lowest computed polymorph = 9 meV per atom; ΔH_f (0 K) = 1.93 eV/f.u.
1.0
-2.068 -1.616 2.797
-4.330 -6.436 -4.295
7.224 -9.418 2.324
Cs Mo Hg
4 2 2
direct
0.506 0.326 0.174 Cs
0.194 0.773 0.371 Cs
0.494 0.674 0.826 Cs
0.806 0.227 0.629 Cs
0.767 0.023 0.939 Mo
0.233 0.977 0.061 Mo
0.155 0.283 0.898 Hg
0.845 0.717 0.102 Hg